[1]
! La6Pd3Au PBE relaxed; values from VASP
! Space-group type ... P2_1/m, No. 11
! M_tot ... 0.0 μB per formula unit
! Energy of formation ... -0.59 eV/atom
&SYSTEM
  ibrav = 0, nat = 20, ntyp = 3
/
ATOMIC_SPECIES
La 138.91 La.upf
Pd 106.42 Pd.upf
Au 196.97 Au.upf
CELL_PARAMETERS angstrom
4.130 0.000 0.000
0.000 10.602 -4.177
0.000 0.137 13.548
ATOMIC_POSITIONS crystal
La 0.750 0.436 0.099
La 0.250 0.564 0.901
La 0.250 0.171 0.200
La 0.750 0.841 0.092
La 0.750 0.829 0.800
La 0.250 0.159 0.908
La 0.250 0.885 0.569
La 0.250 0.526 0.384
La 0.250 0.257 0.680
La 0.750 0.743 0.320
La 0.750 0.115 0.431
La 0.750 0.474 0.616
Pd 0.250 0.642 0.142
Pd 0.250 0.316 0.456
Pd 0.250 0.902 0.961
Pd 0.750 0.684 0.544
Pd 0.750 0.098 0.039
Pd 0.750 0.358 0.858
Au 0.250 0.933 0.282
Au 0.750 0.067 0.718

***

[2]
! Pm2Ga5Ir4 PBE relaxed; values from VASP
! Space-group type ... Fmmm, No. 69
! M_tot ... 0.0 μB per formula unit
! Energy of formation ... -0.59 eV/atom
&SYSTEM
  ibrav = 0, nat = 11, ntyp = 3
/
ATOMIC_SPECIES
Pm 145.00 Pm.upf
Ga 69.72 Ga.upf
Ir 192.22 Ir.upf
CELL_PARAMETERS angstrom
5.447 0.000 0.000
2.724 4.928 0.000
2.724 0.000 7.764
ATOMIC_POSITIONS crystal
Pm 0.844 0.000 0.312
Pm 0.156 0.000 0.688
Ga 0.500 0.500 0.000
Ga 0.500 0.000 0.000
Ga 0.250 0.500 0.500
Ga 0.750 0.500 0.500
Ga 0.000 0.500 0.000
Ir 0.220 0.306 0.255
Ir 0.525 0.694 0.255
Ir 0.780 0.694 0.745
Ir 0.475 0.306 0.745

***

[3]
! La3Mo4 PBE relaxed; values from VASP
! Space-group type ... P6/mmm, No. 191
! M_tot ... 0.2 μB per formula unit
! Energy of formation ... 1.21 eV/atom
&SYSTEM
  ibrav = 0, nat = 7, ntyp = 2
/
ATOMIC_SPECIES
La 138.91 La.upf
Mo 95.94 Mo.upf
CELL_PARAMETERS angstrom
0.695 6.287 1.128
-1.583 -2.054 -5.879
-4.653 0.309 1.145
ATOMIC_POSITIONS crystal
La 0.000 0.500 0.000
La 0.500 0.500 0.000
La 0.500 0.000 0.000
Mo 0.000 0.000 0.227
Mo 0.333 0.667 0.500
Mo 0.667 0.333 0.500
Mo 0.000 0.000 0.773

***

Which of these has the highest energy of formation?
La3Mo4

***

What is the energy of formation in the second record?
-0.59 eV/atom